[1]
Density functional theory data (GGA-PBEsol) for an optimized crystal structure of InRuBr2.

Calculated values
For the spin magnetization, the calculation gives 0.13 μB/atom. The distance to the lowest polymorph of the same formula comes out at 0.000 eV/atom. The total DFT energy (no corrections) comes out at -16.21 eV/cell. The space group is Cmm2.

abc: 3.4295 3.4666 9.0415
angles: 90.00 90.00 119.65
Fractional coordinates of all 4 atoms:
Br1 0.5000 0.0000 0.2913
Ru1 0.5000 0.0000 0.7484
In1 0.0000 0.0000 0.5227
Br2 0.0000 0.0000 0.9376

[2]
Density functional theory data (GGA-PBEsol) for an optimized crystal structure of Mg2BeB2Ir5.

Calculated values
For the spin magnetization, the calculation gives 0.00 μB/atom. The total DFT energy (no corrections) comes out at -151.21 eV/cell. The space group is P4/mbm.

abc: 2.8714 9.1932 9.1932
angles: 90.00 90.00 90.00
Fractional coordinates of all 20 atoms:
Mg1 0.0000 0.1759 0.6759
Ir1 0.5000 0.9311 0.7940
Ir2 0.5000 0.0689 0.2060
B1 0.0000 0.1298 0.3702
Ir3 0.5000 0.5000 0.0000
Mg2 0.0000 0.3241 0.1759
Ir4 0.5000 0.4311 0.7060
B2 0.0000 0.8702 0.6298
Be1 0.0000 0.0000 0.0000
B3 0.0000 0.6298 0.1298
Mg3 0.0000 0.8241 0.3241
Ir5 0.5000 0.2940 0.4311
B4 0.0000 0.3702 0.8702
Mg4 0.0000 0.6759 0.8241
Be2 0.0000 0.5000 0.5000
Ir6 0.5000 0.7940 0.0689
Ir7 0.5000 0.2060 0.9311
Ir8 0.5000 0.7060 0.5689
Ir9 0.5000 0.5689 0.2940
Ir10 0.5000 0.0000 0.5000

[3]
Density functional theory data (GGA-PBEsol) for an optimized crystal structure of Ca3Si4Ag2O14.

Calculated values
For the spin magnetization, the calculation gives 0.00 μB/atom. The total DFT energy (no corrections) comes out at -325.52 eV/cell. The space group is C2/c.

abc: 7.8470 9.3129 9.9816
angles: 64.10 66.85 65.08
Fractional coordinates of all 46 atoms:
O1 0.4754 0.5765 0.3266
O2 0.1168 0.5860 0.2792
Ca1 0.1526 0.5728 0.0309
Si1 0.4507 0.8004 0.8341
O3 0.2465 0.8097 0.9672
O4 0.3785 0.9235 0.1734
O5 0.0180 0.0860 0.7792
O6 0.4831 0.6252 0.8079
O7 0.2912 0.7474 0.5955
Si2 0.4956 0.3818 0.3626
Si3 0.2400 0.1182 0.1374
O8 0.3381 0.3000 0.5034
Si4 0.0852 0.6996 0.6659
O9 0.8585 0.8000 0.0034
O10 0.9820 0.9140 0.2208
O11 0.6215 0.0765 0.8266
O12 0.6341 0.7526 0.9045
Si5 0.5044 0.6182 0.6374
O13 0.0838 0.1252 0.3079
O14 0.5246 0.4235 0.6734
Ag1 0.7638 0.2500 0.7500
O15 0.4603 0.9572 0.6779
O16 0.3659 0.2474 0.0955
Si6 0.7600 0.8818 0.8626
O17 0.0954 0.5428 0.8221
O18 0.7535 0.1903 0.0328
Ag2 0.0000 0.5000 0.5000
Ca2 0.2437 0.0728 0.5309
Ca3 0.8474 0.4272 0.9691
Ag3 0.0000 0.0000 0.0000
Ag4 0.2362 0.7500 0.2500
Ca4 0.3366 0.2500 0.7500
O19 0.8832 0.4140 0.7208
O20 0.5397 0.0428 0.3221
O21 0.9046 0.4572 0.1779
Si7 0.9148 0.3004 0.3341
O22 0.7088 0.2526 0.4045
O23 0.6619 0.7000 0.4966
O24 0.0233 0.6903 0.5328
O25 0.5169 0.3748 0.1921
Ca5 0.7563 0.9272 0.4691
O26 0.9767 0.3097 0.4672
O27 0.1415 0.2000 0.9966
Si8 0.5493 0.1996 0.1659
O28 0.9162 0.8748 0.6921
Ca6 0.6634 0.7500 0.2500